DFT (PBE) results for crystalline GaAgNO at its relaxed geometry.

Values from the calculation:
* relative energy among the computed polymorphs: 30.5 kJ/mol of formula units
* space-group type: No. 29
* VASP energy: -19.84 eV per formula unit

Cell lengths 5.742, 7.221, 5.100 Å; angles 90.00, 90.00, 90.00 degrees
Sites, in units of the cell vectors:
Ga1 0.094 0.107 0.000
Ga2 0.406 0.107 0.500
Ga3 0.594 0.893 0.000
Ga4 0.906 0.893 0.500
Ag1 0.036 0.632 0.941
Ag2 0.464 0.632 0.441
Ag3 0.536 0.368 0.941
Ag4 0.964 0.368 0.441
N1 0.091 0.095 0.376
N2 0.409 0.095 0.876
N3 0.591 0.905 0.376
N4 0.909 0.905 0.876
O1 0.038 0.663 0.407
O2 0.462 0.663 0.907
O3 0.538 0.337 0.407
O4 0.962 0.337 0.907